No. 1
! BaHgIr GGA-PBE optimized geometry; values from VASP
! Crystal system: orthorhombic
! ΔE_f: 14.8 kJ per mole of atoms
&SYSTEM
  ibrav = 0, nat = 3, ntyp = 3
/
ATOMIC_SPECIES
Ir 192.22 Ir.upf
Hg 200.59 Hg.upf
Ba 137.33 Ba.upf
CELL_PARAMETERS angstrom
-1.651 5.707 -1.738
-3.202 1.762 -4.996
0.319 -3.624 5.008
ATOMIC_POSITIONS angstrom
Ir -3.418 5.261 -4.743
Hg -1.409 2.169 -1.955
Ba -0.026 0.040 -0.036



No. 2
! CdTeAs2 GGA-PBE optimized geometry; values from VASP
! Formation energy without anion corrections: 0.386 eV/atom
! Relative energy among the computed polymorphs: 443 meV per atom
! Crystal system: trigonal
&SYSTEM
  ibrav = 0, nat = 4, ntyp = 3
/
ATOMIC_SPECIES
As 74.92 As.upf
Te 127.60 Te.upf
Cd 112.41 Cd.upf
CELL_PARAMETERS angstrom
11.120 -0.065 -0.038
10.693 3.053 -0.038
10.693 1.465 2.679
ATOMIC_POSITIONS angstrom
As 0.408 0.056 0.033
As 15.845 2.170 1.269
Te 8.126 1.113 0.651
Cd 24.379 3.339 1.952



No. 3
! La2TaPt2 GGA-PBE optimized geometry; values from VASP
! Crystal system: tetragonal
! ΔE_f: -59.1 kJ per mole of atoms
&SYSTEM
  ibrav = 0, nat = 10, ntyp = 3
/
ATOMIC_SPECIES
La 138.91 La.upf
Ta 180.95 Ta.upf
Pt 195.08 Pt.upf
CELL_PARAMETERS angstrom
7.113 0.000 0.000
0.000 7.113 0.000
0.000 0.000 4.721
ATOMIC_POSITIONS angstrom
La 2.352 1.205 2.360
La 1.205 4.761 2.360
La 4.761 5.908 2.360
La 5.908 2.352 2.360
Ta 3.557 3.557 0.000
Ta 0.000 0.000 0.000
Pt 4.588 1.031 0.000
Pt 2.525 6.082 0.000
Pt 6.082 4.588 0.000
Pt 1.031 2.525 0.000



no.,mass density (Mg/m³),N(E_F) (states/eV per atom)
1,11.21,0.79
2,6.88,0.71
3,11.80,1.10